The following is a PBE calculation of a geometry-optimized LuHfCuSb structure, from OQMD via LeMat-Bulk.

The space group is F-43m (No. 216) and the conventional cell measures 6.952, 6.952 and 6.952 Å, with angles of 90.00, 90.00 and 90.00 degrees. The distinct sites, in fractional coordinates, are Lu at (0.000, 0.000, 0.000), Hf at (0.250, 0.250, 0.250), Cu at (0.250, 0.250, 0.750) and Sb at (0.000, 0.000, 0.500).

The value obtained for the distance to the lowest polymorph of the same formula is 0.00 kcal/mol of atoms. The value obtained for the volume is 84 Å³/f.u. The calculation puts the total moment at 0.0 μB per formula unit.


The following is a PBE calculation of a geometry-optimized LuHf2Cu4Si4 structure, from OQMD via LeMat-Bulk.

The space group is Immm (No. 71) and the conventional cell measures 3.924, 6.465 and 13.074 Å, with angles of 90.00, 90.00 and 90.00 degrees. The distinct sites, in fractional coordinates, are Lu at (0.000, 0.000, 0.000), Hf at (0.000, 0.500, 0.124), Cu at (0.000, 0.307, 0.329), Si at (0.000, 0.000, 0.219) and Si at (0.000, 0.185, 0.500).

The value obtained for the volume is 166 Å³/f.u. The calculation puts the total moment at 0.0 μB per formula unit. The raw total energy comes out at -6.092 eV/atom.


The following is a PBE calculation of a geometry-optimized HfMgCuPb structure, from OQMD via LeMat-Bulk.

The space group is F-43m (No. 216) and the conventional cell measures 6.930, 6.930 and 6.930 Å, with angles of 90.00, 90.00 and 90.00 degrees. The distinct sites, in fractional coordinates, are Hf at (0.000, 0.000, 0.000), Mg at (0.250, 0.250, 0.750), Cu at (0.000, 0.000, 0.500) and Pb at (0.250, 0.250, 0.250).

The value obtained for the distance to the lowest polymorph of the same formula is 0.50 kcal/mol of atoms. The value obtained for the volume is 83 Å³/f.u. The calculation puts the total moment at 0.1 μB per formula unit.


The following is a PBE calculation of a geometry-optimized HfMgCuPb structure, from OQMD via LeMat-Bulk.

The space group is F-43m (No. 216) and the conventional cell measures 6.894, 6.894 and 6.894 Å, with angles of 90.00, 90.00 and 90.00 degrees. The distinct sites, in fractional coordinates, are Hf at (0.000, 0.000, 0.000), Mg at (0.250, 0.250, 0.250), Cu at (0.250, 0.250, 0.750) and Pb at (0.000, 0.000, 0.500).

The value obtained for the distance to the lowest polymorph of the same formula is 0.00 kcal/mol of atoms. The value obtained for the volume is 82 Å³/f.u. The calculation puts the total moment at 0.1 μB per formula unit.


Question: Which value of total moment does entry 3 give?
Answer: 0.1 μB per formula unit